1.
Density functional theory data (PBE) for a geometry-optimized Mg2TaBr structure.

Lattice parameters (Å, degrees): 3.087 3.087 10.919 90.00 90.00 112.26
Atoms (fractional coordinates):
Mg  0.000  0.000  0.040
Mg  0.500  0.500  0.280
Br  0.500  0.500  0.682
Ta  0.000  0.000  0.497

Results
D(E_F)	0.3832	states/eV/atom
E_form (uncorrected)	0.177	eV/atom
calculated total energy	-4.002	eV per atom



2.
Density functional theory data (PBE) for a geometry-optimized Mg2TaBr structure.

Lattice parameters (Å, degrees): 3.128 3.128 9.244 90.00 90.00 90.00
Atoms (fractional coordinates):
Mg  0.500  0.500  0.279
Mg  0.000  0.000  0.034
Br  0.500  0.500  0.687
Ta  0.000  0.000  0.500

Results
D(E_F)	0.5646	states/eV/atom
E_form (uncorrected)	0.173	eV/atom
calculated total energy	-4.006	eV per atom



3.
Density functional theory data (PBE) for a geometry-optimized Mg2TaBr structure.

Lattice parameters (Å, degrees): 3.150 3.150 8.466 90.00 90.00 90.00
Atoms (fractional coordinates):
Mg  0.000  0.000  0.007
Mg  0.000  0.000  0.493
Ta  0.500  0.500  0.250
Br  0.500  0.500  0.750

Results
D(E_F)	0.2927	states/eV/atom
E_form (uncorrected)	-0.017	eV/atom
calculated total energy	-4.195	eV per atom



4.
Density functional theory data (PBE) for a geometry-optimized MgTaBr2 structure.

Lattice parameters (Å, degrees): 10.608 10.608 10.608 17.79 17.79 17.79
Atoms (fractional coordinates):
Ta  0.500  0.500  0.500
Br  0.105  0.105  0.105
Br  0.895  0.895  0.895
Mg  0.000  0.000  0.000

Results
D(E_F)	0.2638	states/eV/atom
E_form (uncorrected)	-0.163	eV/atom
calculated total energy	-4.361	eV per atom



5.
Density functional theory data (PBE) for a geometry-optimized MgTa2Br structure.

Lattice parameters (Å, degrees): 5.233 5.233 5.233 132.35 132.35 69.68
Atoms (fractional coordinates):
Ta  0.000  0.000  0.000
Ta  0.250  0.750  0.500
Br  0.500  0.500  0.000
Mg  0.750  0.250  0.500

Results
D(E_F)	1.4175	states/eV/atom
E_form (uncorrected)	0.819	eV/atom
calculated total energy	-5.924	eV per atom



6.
Density functional theory data (PBE) for a geometry-optimized Mg3TaBr structure.

Lattice parameters (Å, degrees): 5.620 5.620 5.620 90.00 90.00 90.00
Atoms (fractional coordinates):
Mg  0.500  0.000  0.000
Mg  0.000  0.500  0.000
Mg  0.000  0.000  0.500
Br  0.500  0.500  0.500
Ta  0.000  0.000  0.000

Results
D(E_F)	0.9752	states/eV/atom
E_form (uncorrected)	1.059	eV/atom
calculated total energy	-2.602	eV per atom



7.
Density functional theory data (PBE) for a geometry-optimized MgTaBr structure.

Lattice parameters (Å, degrees): 7.264 7.264 7.264 155.18 155.18 35.39
Atoms (fractional coordinates):
Br  0.034  0.034  0.000
Mg  0.304  0.304  0.000
Ta  0.662  0.662  0.000

Results
D(E_F)	0.3566	states/eV/atom
E_form (uncorrected)	0.193	eV/atom
calculated total energy	-4.847	eV per atom



8.
Density functional theory data (PBE) for a geometry-optimized MgTa2Br structure.

Lattice parameters (Å, degrees): 3.006 4.756 5.518 90.00 90.00 90.00
Atoms (fractional coordinates):
Ta  0.000  0.000  0.989
Ta  0.000  0.000  0.511
Br  0.500  0.500  0.250
Mg  0.500  0.500  0.750

Results
D(E_F)	0.7877	states/eV/atom
E_form (uncorrected)	0.684	eV/atom
calculated total energy	-6.059	eV per atom



9.
Density functional theory data (PBE) for a geometry-optimized MgTa2Br structure.

Lattice parameters (Å, degrees): 5.170 3.953 3.953 90.00 90.00 90.00
Atoms (fractional coordinates):
Ta  0.000  0.500  0.500
Ta  0.000  0.000  0.000
Br  0.500  0.500  0.000
Mg  0.500  0.000  0.500

Results
D(E_F)	0.9833	states/eV/atom
E_form (uncorrected)	0.726	eV/atom
calculated total energy	-6.017	eV per atom



10.
Density functional theory data (PBE) for a geometry-optimized MgTa2Br structure.

Lattice parameters (Å, degrees): 5.476 5.476 2.993 90.00 90.00 119.22
Atoms (fractional coordinates):
Ta  0.000  0.000  0.000
Ta  0.500  0.500  0.000
Br  0.500  0.000  0.500
Mg  0.000  0.500  0.500

Results
D(E_F)	0.8994	states/eV/atom
E_form (uncorrected)	0.720	eV/atom
calculated total energy	-6.023	eV per atom



11.
Density functional theory data (PBE) for a geometry-optimized MgTaBr2 structure.

Lattice parameters (Å, degrees): 7.084 7.084 7.084 153.86 140.66 47.85
Atoms (fractional coordinates):
Mg  0.428  0.428  0.000
Br  0.767  0.267  0.500
Br  0.067  0.067  0.000
Ta  0.239  0.739  0.500

Results
D(E_F)	0.5512	states/eV/atom
E_form (uncorrected)	0.118	eV/atom
calculated total energy	-4.081	eV per atom



12.
Density functional theory data (PBE) for a geometry-optimized MgTaBr structure.

Lattice parameters (Å, degrees): 4.731 4.731 3.091 90.00 90.00 120.00
Atoms (fractional coordinates):
Ta  0.333  0.667  0.833
Mg  0.667  0.333  0.333
Br  0.000  0.000  0.833

Results
D(E_F)	0.7061	states/eV/atom
E_form (uncorrected)	0.491	eV/atom
calculated total energy	-4.549	eV per atom